1.
ScSb2IN: optimized geometry, GGA-PBE.

```
ScSb2IN
1.0
-2.7404 3.9549 -0.0277
-3.9442 -2.7353 -0.3366
-0.2883 -0.1666 4.7320
I N Sb Sc
1 1 2 1
Direct
0.0000 0.0000 0.5000 I
0.0000 0.0000 0.0000 N
0.0000 0.5000 0.0000 Sb
0.5000 0.0000 0.0000 Sb
0.5000 0.5000 0.5000 Sc
```

V, Å³ per atom: 22.0
Final energy, eV per atom: -4.492
E_form (uncorrected), eV/atom: 0.3988
Distance to the lowest polymorph of the same formula, meV per atom: 0
M_tot, μB per formula unit: 0.00



2.
CuTe2Br: optimized geometry, GGA-PBE.

```
CuTe2Br
1.0
5.1615 -0.1253 0.0396
-1.5003 4.9402 0.0396
1.8000 2.3673 4.2227
Te Cu Br
2 1 1
Direct
0.5000 0.5000 0.0000 Te
0.0000 0.0000 0.0000 Te
0.0000 0.5000 0.5000 Cu
0.5000 0.0000 0.5000 Br
```

V, Å³ per atom: 26.5
Final energy, eV per atom: -2.838
E_form (uncorrected), eV/atom: 0.1751
M_tot, μB per formula unit: 0.00



3.
Cr2HPdRh: optimized geometry, GGA-PBE.

```
Cr2HPdRh
1.0
3.7873 0.0000 0.0000
0.0000 3.7873 0.0000
0.0000 0.0000 3.8491
H Rh Cr Pd
1 1 2 1
Direct
0.0000 0.0000 0.0000 H
0.0000 0.0000 0.5000 Rh
0.0000 0.5000 0.0000 Cr
0.5000 0.0000 0.0000 Cr
0.5000 0.5000 0.5000 Pd
```

V, Å³ per atom: 11.0
Final energy, eV per atom: -6.968
Distance to the lowest polymorph of the same formula, meV per atom: 0
M_tot, μB per formula unit: 1.83



4.
La8InBi5: optimized geometry, GGA-PBE.

```
La8InBi5
1.0
-5.0870 5.3184 -4.3684
-4.7024 -6.2232 3.5220
4.0371 4.3758 6.1481
La Bi In
8 5 1
Direct
0.6235 0.3945 0.8735 La
0.6241 0.8898 0.8738 La
0.1262 0.7504 0.0160 La
0.9840 0.1102 0.7343 La
0.2657 0.2496 0.3759 La
0.4790 0.6055 0.2290 La
0.1265 0.7500 0.5210 La
0.7710 0.2500 0.3765 La
0.9980 0.3752 0.1251 Bi
0.8749 0.8729 0.2501 Bi
0.7499 0.6248 0.6228 Bi
0.5000 0.0000 0.5000 Bi
0.3772 0.1271 0.0020 Bi
0.2500 0.5000 0.7500 In
```

V, Å³ per atom: 34.5
Final energy, eV per atom: -5.236
M_tot, μB per formula unit: 0.00
Formation energy from the elements, eV/atom: -0.84



5.
Y2ScMn2: optimized geometry, GGA-PBE.

```
Y2ScMn2
1.0
8.3439 0.0000 0.0000
0.0000 8.3439 0.0000
0.0000 0.0000 3.3299
Y Mn Sc
4 4 2
Direct
0.3590 0.8590 0.0000 Y
0.1410 0.3590 0.0000 Y
0.6410 0.1410 0.0000 Y
0.8590 0.6410 0.0000 Y
0.8413 0.3413 0.5000 Mn
0.1587 0.6587 0.5000 Mn
0.3413 0.1587 0.5000 Mn
0.6587 0.8413 0.5000 Mn
0.5000 0.5000 0.0000 Sc
0.0000 0.0000 0.0000 Sc
```

V, Å³ per atom: 23.2
Final energy, eV per atom: -7.203
Distance to the lowest polymorph of the same formula, meV per atom: 200
M_tot, μB per formula unit: 6.64
Formation energy from the elements, eV/atom: 0.32



6.
RbBa2Mo: optimized geometry, GGA-PBE.

```
RbBa2Mo
1.0
-2.4550 -1.5619 -8.5049
7.5245 -4.7422 -1.3011
-0.4649 -8.4143 -3.0707
Ba Mo Rb
4 2 2
Direct
0.8750 0.1192 0.7500 Ba
0.8808 0.6250 0.2500 Ba
0.8692 0.1250 0.2500 Ba
0.3750 0.1308 0.7500 Ba
0.0000 0.0000 0.0000 Mo
0.7500 0.2500 0.5000 Mo
0.2500 0.7500 0.5000 Rb
0.5000 0.5000 0.0000 Rb
```

V, Å³ per atom: 63.9
Final energy, eV per atom: -2.803
Distance to the lowest polymorph of the same formula, meV per atom: 107
M_tot, μB per formula unit: 0.00
Formation energy from the elements, eV/atom: 1.11